Entry 1:
DFT (PBE-GGA) results for HfGeMo after structural relaxation.

**ΔH_f (0 K)**: -0.4002 eV/atom
**Final energy**: -53.2 eV for the cell shown

```
6
Lattice="5.1205 -1.7387 0.0000 5.1205 1.7387 0.0000 -3.8421 0.0000 5.9354" Properties=species:S:1:pos:R:3 pbc="T T T"
Hf -0.4269 0.0000 1.7958
Hf 6.8257 0.0000 4.1396
Ge 2.3760 0.0000 1.9900
Ge 4.0228 0.0000 3.9454
Mo -0.2351 0.0000 5.5666
Mo 6.6339 0.0000 0.3688
```

Entry 2:
DFT (PBE-GGA) results for CeSi3Os after structural relaxation.

**Final energy**: -71.8 eV for the cell shown
**Formation energy from raw total energies**: -0.497 eV per atom

```
10
Lattice="5.9352 0.0000 0.0000 0.0000 5.5841 0.0000 0.0000 0.0000 5.6643" Properties=species:S:1:pos:R:3 pbc="T T T"
Ce 0.0000 0.8494 0.0000
Ce 2.9676 4.7347 2.8321
Si 0.0000 5.2603 2.9746
Si 1.3013 1.7952 2.7513
Si 1.6663 3.7889 5.5834
Si 2.9676 0.3238 0.1425
Si 4.2688 3.7889 5.5834
Si 4.6339 1.7952 2.7513
Os 0.0000 3.4247 1.5504
Os 2.9676 2.1594 4.3826
```